# 1
Material: HgSe3S
Method: DFT, PBE
State: relaxed

Calculated values
Space-group type: No. 221
Magnetization, μB/f.u.: 0.0

```
HgSe3S
1.0
4.9230 0.0000 0.0000
0.0000 4.9230 0.0000
0.0000 0.0000 4.9230
S Hg Se
1 1 3
Cartesian
0.0000 0.0000 0.0000
2.4615 2.4615 2.4615
0.0000 2.4615 0.0000
0.0000 0.0000 2.4615
2.4615 0.0000 0.0000
```

***

# 2
Material: Pa4PdPt3
Method: DFT, PBE
State: relaxed

Calculated values
Space-group type: No. 25
Magnetization, μB/f.u.: 0.0
ΔE_f, eV per atom: -0.77

```
Pa4PdPt3
1.0
-0.0543 3.1727 -1.9853
1.2325 -2.1318 -3.4406
-10.8816 -1.8920 -2.7259
Pa Pt Pd
4 3 1
Cartesian
-3.2027 -0.1388 -3.6628
-8.7598 -2.6961 -4.0690
-1.6711 -0.2906 -0.4186
-6.9727 0.3787 -2.7325
-5.9314 -2.2043 -3.3605
-4.6229 -0.8038 -1.1581
-9.8123 -0.1150 -3.4439
-0.1973 0.3837 -2.9099
```

***

# 3
Material: CaRe2TcIr
Method: DFT, PBE
State: relaxed

Calculated values
Space-group type: No. 123
Magnetization, μB/f.u.: 0.0
ΔE_f, eV per atom: 1.89

```
CaRe2TcIr
1.0
-2.3395 -2.9795 2.6607
4.2043 -2.1525 1.2864
0.3870 2.8999 3.5876
Re Ca Ir Tc
2 1 1 1
Cartesian
0.1935 1.4499 1.7938
-1.1697 -1.4898 1.3303
2.1022 -1.0762 0.6432
1.1259 -1.1161 3.7673
0.0000 0.0000 0.0000
```

***

# 4
Material: LiNiBr
Method: DFT, PBE
State: relaxed

Calculated values
Space-group type: No. 194
Magnetization, μB/f.u.: 0.0

```
LiNiBr
1.0
-1.0103 -0.6915 3.8328
0.7029 -3.0867 -2.4835
7.1822 0.0982 1.9108
Ni Br Li
2 2 2
Cartesian
1.9274 -2.2637 0.0996
4.9474 -1.4162 3.1605
5.5185 -2.2147 1.0550
1.3563 -1.4653 2.2051
0.0000 0.0000 0.0000
3.5911 0.0491 0.9554
```

***

# 5
Material: SiSb2Br
Method: DFT, PBE
State: relaxed

Calculated values
Space-group type: No. 99
Magnetization, μB/f.u.: 0.0

```
SiSb2Br
1.0
3.6741 0.0000 0.0000
0.0000 3.6741 0.0000
0.0000 0.0000 7.6267
Br Sb Si
1 2 1
Cartesian
1.8371 1.8371 5.6845
0.0000 0.0000 0.2366
1.8371 1.8371 2.1343
0.0000 0.0000 3.3847
```

***

# 6
Material: V2BiBr8
Method: DFT, PBE
State: relaxed

Calculated values
Space-group type: No. 12
Magnetization, μB/f.u.: 5.0

```
V2BiBr8
1.0
-3.0945 0.4701 6.1752
6.1211 -4.0777 4.1089
5.2923 5.8604 2.9370
V Bi Br
2 1 8
Cartesian
7.0689 1.7257 9.6357
1.2500 0.5270 3.5853
0.0000 0.0000 0.0000
5.8891 4.3158 5.3306
1.9076 4.1986 7.1520
8.4483 1.6046 7.6333
-0.1295 0.6481 5.5878
6.4113 -1.9458 6.0690
2.4298 -2.0631 7.8904
4.7614 1.4950 9.3109
3.5575 0.7578 3.9101
```

***

no.,raw total energy (Ha/atom)
1,-0.090
2,-0.310
3,-0.269
4,-0.120
5,-0.131
6,-0.143